[1]
Computed, not measured: a geometry-optimized Cs2In7Bi structure at the PBE level of DFT.

- E: -26.12 eV for the cell shown

a = 5.2429 Å, b = 5.2429 Å, c = 12.6725 Å
α = 90.00°, β = 90.00°, γ = 90.00°
With the nearest neighbours (Å) after each atom.
Element x y z (fractional)
In1 0.5000 0.0000 0.3733  5 In 3.00-3.07
In2 0.0000 0.5000 0.6267  5 In 3.00-3.07
Cs1 0.5000 0.0000 0.7495  14 In 3.98-4.12, 2 Bi 4.12
In3 0.0000 0.0000 0.5000  4 In 3.07
In4 0.0000 0.5000 0.8638  3 In 3.00-3.14, 2 Bi 3.14
In5 0.0000 0.0000 0.0000  4 In 3.14
Bi1 0.5000 0.5000 0.0000  4 In 3.14
In6 0.5000 0.0000 0.1362  3 In 3.00-3.14, 2 Bi 3.14
In7 0.5000 0.5000 0.5000  4 In 3.07
Cs2 0.0000 0.5000 0.2505  14 In 3.98-4.12, 2 Bi 4.12



[2]
Computed, not measured: a geometry-optimized Ca2FeRe structure at the PBE level of DFT.

- E: -21.54 eV for the cell shown
- Offset from the most stable computed form: 0.457 eV per atom

a = 5.6161 Å, b = 5.6161 Å, c = 2.8083 Å
α = 89.90°, β = 89.90°, γ = 116.32°
With the nearest neighbours (Å) after each atom.
Element x y z (fractional)
Re1 0.0000 0.5000 0.5000  2 Re 2.81, 2 Fe 2.96, 8 Ca 3.14
Fe1 0.5000 0.0000 0.5000  2 Fe 2.81, 2 Re 2.96, 8 Ca 3.14
Ca1 0.5000 0.5000 0.0000  4 Ca 2.81-2.96, 4 Re 3.14, 4 Fe 3.14
Ca2 0.0000 0.0000 0.0000  4 Ca 2.81-2.96, 4 Fe 3.14, 4 Re 3.14



[3]
Computed, not measured: a geometry-optimized YInPb structure at the PBE level of DFT.

- E: -28.19 eV for the cell shown
- Offset from the most stable computed form: 0.000 eV per atom

a = 4.4396 Å, b = 4.5486 Å, c = 8.4822 Å
α = 105.55°, β = 90.00°, γ = 90.00°
With the nearest neighbours (Å) after each atom.
Element x y z (fractional)
In1 0.2500 0.7470 0.4940  4 In 3.18, 4 Y 3.39-3.43
Y1 0.2500 0.0928 0.1856  6 Pb 3.19-3.56, 4 In 3.39-3.43
Pb1 0.7500 0.5744 0.1489  6 Y 3.19-3.56, 2 Pb 3.29
Y2 0.7500 0.9072 0.8144  6 Pb 3.19-3.56, 4 In 3.39-3.43
In2 0.7500 0.2530 0.5060  4 In 3.18, 4 Y 3.39-3.43
Pb2 0.2500 0.4256 0.8511  6 Y 3.19-3.56, 2 Pb 3.29



[4]
Computed, not measured: a geometry-optimized TaCrPd3 structure at the PBE level of DFT.

- E: -32.04 eV for the cell shown
- Offset from the most stable computed form: 0.000 eV per atom

a = 4.8218 Å, b = 4.8218 Å, c = 4.8218 Å
α = 90.00°, β = 90.00°, γ = 90.00°
With the nearest neighbours (Å) after each atom.
Element x y z (fractional)
Ta1 0.0000 0.0000 0.0000  6 Pd 2.41
Pd1 0.0000 0.5000 0.0000  2 Ta 2.41
Cr1 0.5000 0.5000 0.5000  12 Pd 3.41
Pd2 0.5000 0.0000 0.0000  2 Ta 2.41
Pd3 0.0000 0.0000 0.5000  2 Ta 2.41



[5]
Computed, not measured: a geometry-optimized Ba2MnSe4 structure at the PBE level of DFT.

- Energy relative to the elements, uncorrected: -9.18 eV/f.u.
- E: -144.53 eV for the cell shown

a = 6.8926 Å, b = 9.6657 Å, c = 12.5641 Å
α = 90.00°, β = 90.00°, γ = 90.00°
With the nearest neighbours (Å) after each atom.
Element x y z (fractional)
Se1 0.2500 0.2997 0.8895  1 Mn 2.31
Mn1 0.7500 0.7648 0.9333  4 Se 2.31-2.36
Ba1 0.2500 0.1365 0.3946  8 Se 3.41-3.79
Ba2 0.7500 0.3635 0.8946  8 Se 3.41-3.79
Ba3 0.2500 0.6365 0.1054  8 Se 3.41-3.79
Ba4 0.2500 0.4668 0.6570  9 Se 3.27-3.54
Se2 0.2500 0.9981 0.1119  1 Mn 2.36
Ba5 0.7500 0.0332 0.1570  9 Se 3.27-3.54
Mn2 0.2500 0.7352 0.4333  4 Se 2.31-2.36
Ba6 0.7500 0.5332 0.3430  9 Se 3.27-3.54
Se3 0.7500 0.5019 0.6119  1 Mn 2.36
Se4 0.7500 0.2003 0.3895  1 Mn 2.31
Se5 0.7500 0.0019 0.8881  1 Mn 2.36
Se6 0.0175 0.1569 0.6393  1 Mn 2.31
Mn3 0.7500 0.2648 0.5667  4 Se 2.31-2.36
Se7 0.0175 0.6569 0.8607  1 Mn 2.31
Se8 0.9825 0.8431 0.3607  1 Mn 2.31
Se9 0.9825 0.3431 0.1393  1 Mn 2.31
Se10 0.2500 0.4981 0.3881  1 Mn 2.36
Ba7 0.2500 0.9668 0.8430  9 Se 3.27-3.54
Se11 0.4825 0.1569 0.6393  1 Mn 2.31
Se12 0.5175 0.3431 0.1393  1 Mn 2.31
Se13 0.7500 0.7003 0.1105  1 Mn 2.31
Mn4 0.2500 0.2352 0.0667  4 Se 2.31-2.36
Se14 0.2500 0.7997 0.6105  1 Mn 2.31
Se15 0.5175 0.8431 0.3607  1 Mn 2.31
Ba8 0.7500 0.8635 0.6054  8 Se 3.41-3.79
Se16 0.4825 0.6569 0.8607  1 Mn 2.31



[6]
Computed, not measured: a geometry-optimized La3IrW structure at the PBE level of DFT.

- E: -33.21 eV for the cell shown
- Offset from the most stable computed form: 0.000 eV per atom

a = 5.4743 Å, b = 5.4743 Å, c = 5.4743 Å
α = 90.00°, β = 90.00°, γ = 90.00°
With the nearest neighbours (Å) after each atom.
Element x y z (fractional)
W1 0.5000 0.5000 0.5000  12 La 3.87
La1 0.5000 0.0000 0.0000  2 Ir 2.74
Ir1 0.0000 0.0000 0.0000  6 La 2.74
La2 0.0000 0.0000 0.5000  2 Ir 2.74
La3 0.0000 0.5000 0.0000  2 Ir 2.74